Below is MgFeW2 after structural relaxation, with properties calculated at the PBE-GGA level.

The density of states at the Fermi level comes out at 3.3 states/eV/f.u. For the uncorrected energy, the calculation gives -8.57 eV/atom.

a b c (Å): 5.0901 5.0901 5.0901
angles (deg): 144.00 126.95 65.79
Closest atoms and distances in Å follow each position.
Atoms (fractional coordinates):
Fe 0.5125 0.5125 0.0000  6 W 2.49-2.77, 2 Mg 2.65
Mg 0.2637 0.7637 0.5000  2 Fe 2.65, 8 W 2.77-2.96
W 0.9857 0.9857 0.0000  2 W 2.64, 4 Fe 2.77, 2 Mg 2.85
W 0.7381 0.2381 0.5000  2 Fe 2.49, 2 W 2.64, 4 Mg 2.77